5
Lattice="4.703 0.000 0.000 0.000 4.703 0.000 0.000 0.000 5.271" Properties=species:S:1:pos:R:3 comment="CdGa2AgP (GGA-PBE, relaxed)" final_energy_ev_per_atom=-2.64 formation_energy_ev_per_fu=2.0 total_magnetization_mub_per_fu=0.0 crystal_system=tetragonal sg="P4/mmm (123)" pbc="T T T"
Cd 0.000 0.000 0.000
Ga 0.000 2.351 2.636
Ga 2.351 0.000 2.636
Ag 2.351 2.351 0.000
P 0.000 0.000 2.636